# 1
Material: LiLuCu2
Method: DFT, PBE
State: relaxed

Results
As for the calculated volume: 69 Å³ per cell. The formation energy comes out at -0.06 eV/atom. The calculation puts the density of states at the Fermi level at 2.14 states/eV/f.u. As for the space group: P4/mmm. The total magnetic moment is 0.0 μB per formula unit. Its distance to the lowest polymorph of the same formula is 0.066 eV per atom.

a = 3.3319 Å, b = 4.5459 Å, c = 4.5459 Å
α = 90.00°, β = 90.00°, γ = 90.00°
Atoms (fractional coordinates):
Lu (0.5000, 0.5000, 0.5000)
Cu (0.0000, 0.0000, 0.5000)
Cu (0.0000, 0.5000, 0.0000)
Li (0.5000, 0.0000, 0.0000)

# 2
Material: LiLuCu4
Method: DFT, PBE
State: relaxed

Results
As for the calculated volume: 89 Å³ per cell. The formation energy comes out at -0.19 eV/atom. The calculation puts the density of states at the Fermi level at 7.94 states/eV/f.u. As for the space group: F-43m. The total magnetic moment is 0.0 μB per formula unit.

a = 5.0130 Å, b = 5.0130 Å, c = 5.0130 Å
α = 60.00°, β = 60.00°, γ = 60.00°
Atoms (fractional coordinates):
Cu (0.6258, 0.6258, 0.1226)
Cu (0.1226, 0.6258, 0.6258)
Li (0.0000, 0.0000, 0.0000)
Cu (0.6258, 0.6258, 0.6258)
Cu (0.6258, 0.1226, 0.6258)
Lu (0.2500, 0.2500, 0.2500)

Q: Which value of calculated volume does entry 1 give?
A: 69 Å³ per cell

Q: Which formula does entry 2 have?
A: LiLuCu4